No. 1
# FeBPS2

A geometry-optimized FeBPS2 structure (PBE, the Alexandria database).

The structure in CIF format:
```
data_FeBPS2
_chemical_formula_sum 'Fe1 B1 P1 S2'
_cell_length_a 4.541
_cell_length_b 4.541
_cell_length_c 4.228
_cell_angle_alpha 90.00
_cell_angle_beta 90.00
_cell_angle_gamma 90.00
_space_group_name_H-M_alt 'P 1'
_space_group_IT_number 1
_space_group_name_Hall 'P 1'
loop_
_atom_site_label
_atom_site_fract_x
_atom_site_fract_y
_atom_site_fract_z
Fe1 0.000 0.000 0.000
B1 0.500 0.500 0.500
P1 0.000 0.000 0.500
S1 0.000 0.500 0.000
S2 0.500 0.000 0.000
```

Summary:
V: 87.19 Å³ per cell
ρ: 3.1 Mg/m³
space-group type: P4/mmm
total magnetic moment: 2.1 μB/f.u.
formation energy from raw total energies: 1.256 eV per atom



No. 2
# FeBP2S

A geometry-optimized FeBP2S structure (PBE, the Alexandria database).

The structure in CIF format:
```
data_FeBP2S
_chemical_formula_sum 'Fe1 B1 P2 S1'
_cell_length_a 3.937
_cell_length_b 3.937
_cell_length_c 4.150
_cell_angle_alpha 90.00
_cell_angle_beta 90.00
_cell_angle_gamma 90.00
_space_group_name_H-M_alt 'P 1'
_space_group_IT_number 1
_space_group_name_Hall 'P 1'
loop_
_atom_site_label
_atom_site_fract_x
_atom_site_fract_y
_atom_site_fract_z
Fe1 0.000 0.000 0.000
B1 0.500 0.500 0.500
P1 0.000 0.500 0.500
P2 0.500 0.000 0.500
S1 0.500 0.500 0.000
```

Summary:
V: 64.34 Å³ per cell
ρ: 4.1 Mg/m³
space-group type: P4/mmm
total magnetic moment: 0.0 μB/f.u.
formation energy from raw total energies: 1.038 eV per atom



No. 3
# FeBPS2

A geometry-optimized FeBPS2 structure (PBE, the Alexandria database).

The structure in CIF format:
```
data_FeBPS2
_chemical_formula_sum 'Fe1 B1 P1 S2'
_cell_length_a 4.111
_cell_length_b 4.111
_cell_length_c 3.888
_cell_angle_alpha 90.00
_cell_angle_beta 90.00
_cell_angle_gamma 90.00
_space_group_name_H-M_alt 'P 1'
_space_group_IT_number 1
_space_group_name_Hall 'P 1'
loop_
_atom_site_label
_atom_site_fract_x
_atom_site_fract_y
_atom_site_fract_z
Fe1 0.000 0.000 0.000
B1 0.500 0.500 0.500
P1 0.500 0.500 0.000
S1 0.000 0.500 0.500
S2 0.500 0.000 0.500
```

Summary:
V: 65.70 Å³ per cell
ρ: 4.1 Mg/m³
space-group type: P4/mmm
total magnetic moment: 0.0 μB/f.u.
formation energy from raw total energies: 1.027 eV per atom



No. 4
# FeBP2S

A geometry-optimized FeBP2S structure (PBE, the Alexandria database).

The structure in CIF format:
```
data_FeBP2S
_chemical_formula_sum 'Fe1 B1 P2 S1'
_cell_length_a 4.129
_cell_length_b 4.129
_cell_length_c 4.985
_cell_angle_alpha 90.00
_cell_angle_beta 90.00
_cell_angle_gamma 90.00
_space_group_name_H-M_alt 'P 1'
_space_group_IT_number 1
_space_group_name_Hall 'P 1'
loop_
_atom_site_label
_atom_site_fract_x
_atom_site_fract_y
_atom_site_fract_z
Fe1 0.000 0.000 0.000
B1 0.500 0.500 0.500
P1 0.000 0.500 0.000
P2 0.500 0.000 0.000
S1 0.000 0.000 0.500
```

Summary:
V: 85.00 Å³ per cell
ρ: 3.1 Mg/m³
space-group type: P4/mmm
total magnetic moment: 0.0 μB/f.u.
formation energy from raw total energies: 1.229 eV per atom



No. 5
# Fe2BPSe

A geometry-optimized Fe2BPSe structure (PBE, the Alexandria database).

The structure in CIF format:
```
data_Fe2BPSe
_chemical_formula_sum 'Fe2 B1 P1 Se1'
_cell_length_a 4.462
_cell_length_b 4.462
_cell_length_c 3.603
_cell_angle_alpha 90.00
_cell_angle_beta 90.00
_cell_angle_gamma 90.00
_space_group_name_H-M_alt 'P 1'
_space_group_IT_number 1
_space_group_name_Hall 'P 1'
loop_
_atom_site_label
_atom_site_fract_x
_atom_site_fract_y
_atom_site_fract_z
Fe1 0.000 0.500 0.000
Fe2 0.500 0.000 0.000
B1 0.000 0.000 0.500
P1 0.000 0.000 0.000
Se1 0.500 0.500 0.500
```

Summary:
V: 71.75 Å³ per cell
ρ: 5.4 Mg/m³
space-group type: P4/mmm
total magnetic moment: 4.8 μB/f.u.
formation energy from raw total energies: 0.698 eV per atom



No. 6
# PaFe4B

A geometry-optimized PaFe4B structure (PBE, the Alexandria database).

The structure in CIF format:
```
data_PaFe4B
_chemical_formula_sum 'Pa2 Fe8 B2'
_cell_length_a 7.463
_cell_length_b 7.463
_cell_length_c 5.936
_cell_angle_alpha 90.00
_cell_angle_beta 90.00
_cell_angle_gamma 153.54
_space_group_name_H-M_alt 'P 1'
_space_group_IT_number 1
_space_group_name_Hall 'P 1'
loop_
_atom_site_label
_atom_site_fract_x
_atom_site_fract_y
_atom_site_fract_z
Pa1 0.127 0.873 0.750
Pa2 0.873 0.127 0.250
Fe1 0.081 0.919 0.250
Fe2 0.314 0.686 0.548
Fe3 0.314 0.686 0.952
Fe4 0.500 0.500 0.000
Fe5 0.500 0.500 0.500
Fe6 0.686 0.314 0.048
Fe7 0.686 0.314 0.452
Fe8 0.919 0.081 0.750
B1 0.224 0.776 0.250
B2 0.776 0.224 0.750
```

Summary:
V: 147.29 Å³ per cell
ρ: 10.5 Mg/m³
space-group type: Cmcm
energy of formation: -0.9 eV/f.u.
total magnetic moment: 5.1 μB/f.u.



No. 7
# PaFeB3

A geometry-optimized PaFeB3 structure (PBE, the Alexandria database).

The structure in CIF format:
```
data_PaFeB3
_chemical_formula_sum 'Pa1 Fe1 B3'
_cell_length_a 4.870
_cell_length_b 4.870
_cell_length_c 4.870
_cell_angle_alpha 136.79
_cell_angle_beta 136.79
_cell_angle_gamma 62.76
_space_group_name_H-M_alt 'P 1'
_space_group_IT_number 1
_space_group_name_Hall 'P 1'
loop_
_atom_site_label
_atom_site_fract_x
_atom_site_fract_y
_atom_site_fract_z
Pa1 0.000 0.000 0.000
Fe1 0.633 0.633 0.000
B1 0.265 0.765 0.500
B2 0.375 0.375 0.000
B3 0.765 0.265 0.500
```

Summary:
V: 53.46 Å³ per cell
ρ: 9.9 Mg/m³
space-group type: I4mm
energy of formation: -0.7 eV/f.u.
total magnetic moment: 0.0 μB/f.u.



No. 8
# Pa2FeB

A geometry-optimized Pa2FeB structure (PBE, the Alexandria database).

The structure in CIF format:
```
data_Pa2FeB
_chemical_formula_sum 'Pa2 Fe1 B1'
_cell_length_a 8.138
_cell_length_b 8.138
_cell_length_c 8.138
_cell_angle_alpha 23.60
_cell_angle_beta 23.60
_cell_angle_gamma 23.60
_space_group_name_H-M_alt 'P 1'
_space_group_IT_number 1
_space_group_name_Hall 'P 1'
loop_
_atom_site_label
_atom_site_fract_x
_atom_site_fract_y
_atom_site_fract_z
Pa1 0.100 0.100 0.100
Pa2 0.900 0.900 0.900
Fe1 0.000 0.000 0.000
B1 0.500 0.500 0.500
```

Summary:
V: 75.90 Å³ per cell
ρ: 11.6 Mg/m³
space-group type: R-3m
energy of formation: 1.4 eV/f.u.
total magnetic moment: 0.6 μB/f.u.



No. 9
# Pa2Fe6B

A geometry-optimized Pa2Fe6B structure (PBE, the Alexandria database).

The structure in CIF format:
```
data_Pa2Fe6B
_chemical_formula_sum 'Pa2 Fe6 B1'
_cell_length_a 5.457
_cell_length_b 5.457
_cell_length_c 5.457
_cell_angle_alpha 60.00
_cell_angle_beta 60.00
_cell_angle_gamma 60.00
_space_group_name_H-M_alt 'P 1'
_space_group_IT_number 1
_space_group_name_Hall 'P 1'
loop_
_atom_site_label
_atom_site_fract_x
_atom_site_fract_y
_atom_site_fract_z
Pa1 0.250 0.250 0.250
Pa2 0.750 0.750 0.750
Fe1 0.242 0.242 0.758
Fe2 0.242 0.758 0.242
Fe3 0.242 0.758 0.758
Fe4 0.758 0.242 0.242
Fe5 0.758 0.242 0.758
Fe6 0.758 0.758 0.242
B1 0.500 0.500 0.500
```

Summary:
V: 114.93 Å³ per cell
ρ: 11.7 Mg/m³
space-group type: Fm-3m
energy of formation: -2.1 eV/f.u.
total magnetic moment: 0.0 μB/f.u.



No. 10
# PaFeB

A geometry-optimized PaFeB structure (PBE, the Alexandria database).

The structure in CIF format:
```
data_PaFeB
_chemical_formula_sum 'Pa1 Fe1 B1'
_cell_length_a 3.580
_cell_length_b 3.580
_cell_length_c 3.820
_cell_angle_alpha 90.00
_cell_angle_beta 90.00
_cell_angle_gamma 90.00
_space_group_name_H-M_alt 'P 1'
_space_group_IT_number 1
_space_group_name_Hall 'P 1'
loop_
_atom_site_label
_atom_site_fract_x
_atom_site_fract_y
_atom_site_fract_z
Pa1 0.000 0.000 0.000
Fe1 0.500 0.500 0.500
B1 0.500 0.500 0.000
```

Summary:
V: 48.96 Å³ per cell
ρ: 10.1 Mg/m³
space-group type: P4/mmm
energy of formation: 0.3 eV/f.u.
total magnetic moment: 0.4 μB/f.u.



No. 11
# PaFe6B4

A geometry-optimized PaFe6B4 structure (PBE, the Alexandria database).

The structure in CIF format:
```
data_PaFe6B4
_chemical_formula_sum 'Pa1 Fe6 B4'
_cell_length_a 6.473
_cell_length_b 6.473
_cell_length_c 3.078
_cell_angle_alpha 90.00
_cell_angle_beta 90.00
_cell_angle_gamma 120.00
_space_group_name_H-M_alt 'P 1'
_space_group_IT_number 1
_space_group_name_Hall 'P 1'
loop_
_atom_site_label
_atom_site_fract_x
_atom_site_fract_y
_atom_site_fract_z
Pa1 0.000 0.000 0.000
Fe1 0.203 0.407 0.500
Fe2 0.203 0.797 0.500
Fe3 0.536 0.072 0.000
Fe4 0.536 0.464 0.000
Fe5 0.593 0.797 0.500
Fe6 0.928 0.464 0.000
B1 0.333 0.667 0.000
B2 0.403 0.201 0.500
B3 0.799 0.201 0.500
B4 0.799 0.597 0.500
```

Summary:
V: 111.68 Å³ per cell
ρ: 9.1 Mg/m³
space-group type: P-6m2
energy of formation: -3.1 eV/f.u.
total magnetic moment: 8.1 μB/f.u.



No. 12
# PaFe4B2

A geometry-optimized PaFe4B2 structure (PBE, the Alexandria database).

The structure in CIF format:
```
data_PaFe4B2
_chemical_formula_sum 'Pa1 Fe4 B2'
_cell_length_a 6.347
_cell_length_b 6.347
_cell_length_c 3.550
_cell_angle_alpha 90.00
_cell_angle_beta 90.00
_cell_angle_gamma 147.04
_space_group_name_H-M_alt 'P 1'
_space_group_IT_number 1
_space_group_name_Hall 'P 1'
loop_
_atom_site_label
_atom_site_fract_x
_atom_site_fract_y
_atom_site_fract_z
Pa1 0.000 0.000 0.000
Fe1 0.183 0.817 0.500
Fe2 0.314 0.686 0.000
Fe3 0.686 0.314 0.000
Fe4 0.817 0.183 0.500
B1 0.413 0.587 0.500
B2 0.587 0.413 0.500
```

Summary:
V: 77.80 Å³ per cell
ρ: 10.2 Mg/m³
space-group type: Cmmm
energy of formation: -2.3 eV/f.u.
total magnetic moment: 0.7 μB/f.u.